DyAlCrGe2 after structural relaxation. Source: the Alexandria database, functional PBE.

a b c (Å): 5.4243 5.6930 5.7743
angles (deg): 90.00 90.00 90.00
Last column: nearest neighbours and their distance in Å.
Space group Pmma (No. 51)
Asymmetric unit:
Dy: 0.2500 0.0000 0.2204  2 Al 2.97, 8 Ge 3.04-3.28
Al: 0.2500 0.5000 0.3694  2 Cr 2.53, 2 Ge 2.61
Cr: 0.0000 0.5000 0.0000  4 Ge 2.52, 2 Al 2.53, 2 Cr 2.71
Ge: 0.2500 0.2358 0.7390  2 Cr 2.52, 1 Al 2.61, 1 Ge 2.69

## Properties
The calculation puts the energy at -0.4248 Ry per atom. Its magnetic moment is 0.321 μB per formula unit.



CaInCuNi after structural relaxation. Source: the Alexandria database, functional PBE.

a b c (Å): 6.6128 6.6128 6.6128
angles (deg): 90.00 90.00 90.00
Last column: nearest neighbours and their distance in Å.
Space group F-43m (No. 216)
Asymmetric unit:
Ca: 0.0000 0.0000 0.0000  4 Ni 2.86, 4 Cu 2.86
In: 0.0000 0.0000 0.5000  4 Ni 2.86, 4 Cu 2.86
Cu: 0.2500 0.2500 0.2500  4 In 2.86, 4 Ca 2.86
Ni: 0.2500 0.2500 0.7500  4 In 2.86, 4 Ca 2.86

## Properties
The calculation puts the energy at -0.2766 Ry per atom. Its magnetic moment is 0.000 μB per formula unit.



CrPbS2 after structural relaxation. Source: the Alexandria database, functional PBE.

a b c (Å): 3.4891 3.4891 8.1131
angles (deg): 90.00 90.00 120.00
Last column: nearest neighbours and their distance in Å.
Space group P3m1 (No. 156)
Asymmetric unit:
Cr: 0.0000 0.0000 0.0000  6 S 2.39-2.40
Pb: 0.3333 0.6667 0.4942  1 S 2.82
S: 0.3333 0.6667 0.8415  3 Cr 2.39
S: 0.6667 0.3333 0.1602  3 Cr 2.40

## Properties
The calculation puts the energy at -0.4363 Ry per atom. Its magnetic moment is 2.865 μB per formula unit. The formation energy without anion corrections is -208 kJ/mol of formula units.



LaPrSm2Y5 after structural relaxation. Source: the Alexandria database, functional PBE.

a b c (Å): 8.7930 8.7930 15.7075
angles (deg): 90.00 90.00 90.00
Last column: nearest neighbours and their distance in Å.
Space group I4/mcm (No. 140)
Asymmetric unit:
La: 0.0000 0.0000 0.2500  10 Y 3.64-3.93
Pr: 0.0000 0.5000 0.2500  4 Y 3.14
Sm: 0.1171 0.3829 0.0000  1 Sm 2.91, 2 Y 3.05
Y: 0.0000 0.0000 0.0000  4 Sm 3.52, 8 Y 3.79, 2 La 3.93
Y: 0.2059 0.2941 0.3659  1 Sm 3.05, 1 Pr 3.14

## Properties
The calculation puts the energy at -0.4031 Ry per atom. Its magnetic moment is 0.001 μB per formula unit.



Er4Tm11Sc9 after structural relaxation. Source: the Alexandria database, functional PBE.

a b c (Å): 19.6324 20.2479 3.3914
angles (deg): 90.00 90.00 90.00
Last column: nearest neighbours and their distance in Å.
Space group Cmmm (No. 65)
Asymmetric unit:
Er: 0.1371 0.0838 0.0000  2 Sc 3.18-3.29, 6 Tm 3.36-3.50, 3 Er 3.39-3.40
Tm: 0.0000 0.1562 0.5000  3 Tm 3.39-3.49, 6 Sc 3.47-3.59, 4 Er 3.50
Tm: 0.0000 0.3285 0.5000  8 Sc 3.35-3.40, 4 Tm 3.39-3.49
Tm: 0.0000 0.5000 0.5000  8 Sc 3.38, 4 Tm 3.39-3.47
Tm: 0.2344 0.5000 0.5000  4 Sc 3.34, 4 Tm 3.39-3.42, 4 Er 3.48
Tm: 0.2437 0.3315 0.5000  4 Tm 3.31-3.42, 2 Er 3.36, 6 Sc 3.38-3.48
Sc: 0.0000 0.0000 0.0000  4 Er 3.18, 2 Sc 3.39
Sc: 0.1186 0.4131 0.0000  8 Tm 3.34-3.41, 4 Sc 3.39-3.52
Sc: 0.1237 0.2457 0.0000  1 Er 3.29, 8 Tm 3.38-3.48, 3 Sc 3.39

## Properties
The calculation puts the energy at -0.3750 Ry per atom. Its magnetic moment is 0.000 μB per formula unit.



K4Na3Cd after structural relaxation. Source: the Alexandria database, functional PBE.

a b c (Å): 4.5344 5.9907 14.7618
angles (deg): 90.00 90.00 90.00
Last column: nearest neighbours and their distance in Å.
Space group Pmm2 (No. 25)
Asymmetric unit:
K: 0.0000 0.0000 0.0000  2 Cd 3.76, 4 Na 3.96
K: 0.0000 0.5000 0.2873  3 Na 3.76-4.20, 4 Cd 3.96
K: 0.5000 0.0000 0.4618  1 Cd 3.82, 6 Na 4.09-4.21
K: 0.5000 0.5000 0.8068  7 Na 4.06-4.15, 2 K 4.53
Na: 0.0000 0.0000 0.7025  2 Na 3.56
Na: 0.0000 0.5000 0.5716  2 Na 3.56
Na: 0.5000 0.5000 0.0845  2 Cd 3.47, 2 K 3.76
Cd: 0.5000 0.0000 0.2031  2 Na 3.47, 3 K 3.76-3.82

## Properties
The calculation puts the energy at -0.0839 Ry per atom. Its magnetic moment is 0.000 μB per formula unit.



Q: Among the records above, which one has the highest energy?
A: K4Na3Cd